Record 1
A plane-wave DFT calculation with GGA-PBE was carried out for Li5CrN3 after structural relaxation.

Unit cell a=5.917 b=5.917 c=6.660 alpha=106.08 beta=106.08 gamma=47.87
Element x y z (fractional)
Li 0.060 0.589 0.897
Li 0.092 0.585 0.440
Li 0.214 0.786 0.750
Li 0.411 0.940 0.603
Li 0.415 0.908 0.060
Li 0.585 0.092 0.940
Li 0.589 0.060 0.397
Li 0.786 0.214 0.250
Li 0.908 0.415 0.560
Li 0.940 0.411 0.103
Cr 0.282 0.718 0.250
Cr 0.718 0.282 0.750
N 0.089 0.203 0.818
N 0.203 0.089 0.318
N 0.500 0.500 0.000
N 0.500 0.500 0.500
N 0.797 0.911 0.682
N 0.911 0.797 0.182

Computed properties:
M_tot: 1.68 μB/f.u.
formation energy without anion corrections: -525 meV per atom

---

Record 2
A plane-wave DFT calculation with GGA-PBE was carried out for Na2LiCr2N4 after structural relaxation.

Unit cell a=6.404 b=6.404 c=5.871 alpha=110.84 beta=110.84 gamma=29.48
Element x y z (fractional)
Na 0.119 0.119 0.498
Na 0.881 0.881 0.502
Li 0.000 0.000 0.000
Cr 0.328 0.328 0.011
Cr 0.672 0.672 0.989
N 0.211 0.211 0.161
N 0.461 0.461 0.215
N 0.539 0.539 0.785
N 0.789 0.789 0.839

Computed properties:
M_tot: 0.00 μB/f.u.
formation energy without anion corrections: -450 meV per atom

---

Record 3
A plane-wave DFT calculation with GGA-PBE was carried out for Li4Nb3CrN8 after structural relaxation.

Unit cell a=6.189 b=6.189 c=6.189 alpha=58.92 beta=58.92 gamma=58.92
Element x y z (fractional)
Li 0.000 0.000 0.000
Li 0.000 0.500 0.500
Li 0.500 0.000 0.500
Li 0.500 0.500 0.000
Nb 0.000 0.000 0.500
Nb 0.000 0.500 0.000
Nb 0.500 0.000 0.000
Cr 0.500 0.500 0.500
N 0.242 0.242 0.242
N 0.250 0.735 0.735
N 0.265 0.265 0.750
N 0.265 0.750 0.265
N 0.735 0.250 0.735
N 0.735 0.735 0.250
N 0.750 0.265 0.265
N 0.758 0.758 0.758

Computed properties:
M_tot: 1.00 μB/f.u.
formation energy without anion corrections: -688 meV per atom

---

Record 4
A plane-wave DFT calculation with GGA-PBE was carried out for Li2NdCrN4 after structural relaxation.

Unit cell a=5.019 b=5.019 c=5.019 alpha=115.49 beta=115.49 gamma=98.01
Element x y z (fractional)
Li 0.250 0.750 0.500
Li 0.750 0.250 0.500
Nd 0.000 0.000 0.000
Cr 0.500 0.500 0.000
N 0.160 0.539 0.000
N 0.461 0.461 0.621
N 0.539 0.160 0.000
N 0.840 0.840 0.379

Computed properties:
M_tot: 0.57 μB/f.u.
formation energy without anion corrections: -621 meV per atom

---

Record 5
A plane-wave DFT calculation with GGA-PBE was carried out for LiNdCrN3 after structural relaxation.

Unit cell a=5.301 b=5.301 c=6.275 alpha=106.42 beta=106.42 gamma=71.02
Element x y z (fractional)
Li 0.161 0.839 0.000
Li 0.839 0.161 0.000
Nd 0.192 0.192 0.652
Nd 0.808 0.808 0.348
Cr 0.444 0.444 0.187
Cr 0.556 0.556 0.813
N 0.222 0.682 0.683
N 0.235 0.235 0.075
N 0.318 0.778 0.317
N 0.682 0.222 0.683
N 0.765 0.765 0.925
N 0.778 0.318 0.317

Computed properties:
M_tot: 0.00 μB/f.u.
formation energy without anion corrections: -612 meV per atom

---

Record 6
A plane-wave DFT calculation with GGA-PBE was carried out for LiCr2NiN after structural relaxation.

Unit cell a=3.790 b=3.790 c=3.775 alpha=90.00 beta=90.00 gamma=90.00
Element x y z (fractional)
Li 0.000 0.000 0.000
Cr 0.000 0.500 0.500
Cr 0.500 0.000 0.500
Ni 0.500 0.500 0.000
N 0.000 0.000 0.500

Computed properties:
M_tot: 3.63 μB/f.u.
formation energy without anion corrections: -127 meV per atom

---

Record 7
A plane-wave DFT calculation with GGA-PBE was carried out for LiNpCrN3 after structural relaxation.

Unit cell a=5.365 b=3.160 c=7.985 alpha=90.00 beta=106.87 gamma=90.00
Element x y z (fractional)
Li 0.124 0.250 0.418
Li 0.876 0.750 0.582
Np 0.478 0.750 0.782
Np 0.522 0.250 0.218
Cr 0.026 0.250 0.879
Cr 0.974 0.750 0.121
N 0.186 0.250 0.686
N 0.232 0.750 0.980
N 0.300 0.750 0.311
N 0.700 0.250 0.689
N 0.768 0.250 0.020
N 0.814 0.750 0.314

Computed properties:
M_tot: 2.50 μB/f.u.
formation energy without anion corrections: -758 meV per atom

---

| no. | mass density (g/cm3) |
| --- | --- |
| 1 | 2.59 |
| 2 | 3.21 |
| 3 | 4.78 |
| 4 | 4.68 |
| 5 | 5.21 |
| 6 | 5.62 |
| 7 | 8.66 |